The following is a PBE-GGA calculation of an optimized crystal structure of LaPmCo2, from Alexandria.

Output
For the total energy, the calculation gives -5.94 eV per atom. As for the energy above the most stable polymorph in this dataset: 42.8 kJ/mol of formula units. The density of states at the Fermi level is 2.07 states/eV/f.u. The crystal system is tetragonal.

abc: 4.9193 4.9193 3.4711
angles: 90.00 90.00 90.00
Sites, in units of the cell vectors:
1 La 0.0000 0.0000 0.0000
2 Pm 0.5000 0.5000 0.0000
3 Co 0.0000 0.5000 0.5000
4 Co 0.5000 0.0000 0.5000

---

The following is a PBE-GGA calculation of an optimized crystal structure of LaPm2Co2, from Alexandria.

Output
For the total energy, the calculation gives -5.71 eV per atom. As for the energy above the most stable polymorph in this dataset: 30.1 kJ/mol of formula units. The density of states at the Fermi level is 5.33 states/eV/f.u. The crystal system is monoclinic.

abc: 6.1104 6.1104 5.8285
angles: 105.66 105.66 36.31
Sites, in units of the cell vectors:
1 La 0.0000 0.0000 0.0000
2 Pm 0.3495 0.3495 0.4087
3 Pm 0.6505 0.6505 0.5913
4 Co 0.2786 0.2786 0.8967
5 Co 0.7214 0.7214 0.1033

---

The following is a PBE-GGA calculation of an optimized crystal structure of La4Pm2Co, from Alexandria.

Output
For the total energy, the calculation gives -4.99 eV per atom. The density of states at the Fermi level is 10.16 states/eV/f.u. The crystal system is tetragonal.

abc: 9.8999 9.8999 9.8999
angles: 149.86 149.86 43.15
Sites, in units of the cell vectors:
1 La 0.0000 0.5000 0.5000
2 La 0.1576 0.1576 0.0000
3 La 0.5000 0.0000 0.5000
4 La 0.8424 0.8424 0.0000
5 Pm 0.3305 0.3305 0.0000
6 Pm 0.6695 0.6695 0.0000
7 Co 0.0000 0.0000 0.0000

---

The following is a PBE-GGA calculation of an optimized crystal structure of LaPmCo2, from Alexandria.

Output
For the total energy, the calculation gives -5.94 eV per atom. As for the energy above the most stable polymorph in this dataset: 42.7 kJ/mol of formula units. The density of states at the Fermi level is 1.71 states/eV/f.u. The crystal system is cubic.

abc: 4.9159 4.9159 4.9159
angles: 60.00 60.00 60.00
Sites, in units of the cell vectors:
1 La 0.0000 0.0000 0.0000
2 Pm 0.5000 0.5000 0.5000
3 Co 0.2500 0.2500 0.2500
4 Co 0.7500 0.7500 0.7500

---

The following is a PBE-GGA calculation of an optimized crystal structure of La12PmCo6, from Alexandria.

Output
For the total energy, the calculation gives -5.70 eV per atom. The density of states at the Fermi level is 22.46 states/eV/f.u. The crystal system is cubic.

abc: 8.8505 8.8505 8.8505
angles: 109.47 109.47 109.47
Sites, in units of the cell vectors:
1 La 0.1196 0.8048 0.3149
2 La 0.1952 0.3149 0.5101
3 La 0.1952 0.6851 0.8804
4 La 0.3149 0.1196 0.8048
5 La 0.3149 0.5101 0.1952
6 La 0.4899 0.8048 0.6851
7 La 0.5101 0.1952 0.3149
8 La 0.6851 0.4899 0.8048
9 La 0.6851 0.8804 0.1952
10 La 0.8048 0.3149 0.1196
11 La 0.8048 0.6851 0.4899
12 La 0.8804 0.1952 0.6851
13 Pm 0.0000 0.0000 0.0000
14 Co 0.1170 0.6170 0.5000
15 Co 0.3830 0.5000 0.8830
16 Co 0.5000 0.1170 0.6170
17 Co 0.5000 0.8830 0.3830
18 Co 0.6170 0.5000 0.1170
19 Co 0.8830 0.3830 0.5000

---

The following is a PBE-GGA calculation of an optimized crystal structure of LaPm2Co, from Alexandria.

Output
For the total energy, the calculation gives -5.46 eV per atom. As for the energy above the most stable polymorph in this dataset: 10.3 kJ/mol of formula units. The density of states at the Fermi level is 6.03 states/eV/f.u. The crystal system is orthorhombic.

abc: 6.4407 6.4407 9.9438
angles: 90.00 90.00 146.10
Sites, in units of the cell vectors:
1 La 0.0935 0.9065 0.7500
2 La 0.9065 0.0935 0.2500
3 Pm 0.3567 0.6433 0.5736
4 Pm 0.3567 0.6433 0.9264
5 Pm 0.6433 0.3567 0.0736
6 Pm 0.6433 0.3567 0.4264
7 Co 0.2474 0.7526 0.2500
8 Co 0.7526 0.2474 0.7500

---

The following is a PBE-GGA calculation of an optimized crystal structure of LaPm2Co6, from Alexandria.

Output
For the total energy, the calculation gives -6.43 eV per atom. The density of states at the Fermi level is 7.85 states/eV/f.u. The crystal system is hexagonal.

abc: 6.7657 6.7657 4.2175
angles: 90.00 90.00 120.00
Sites, in units of the cell vectors:
1 La 0.0000 0.0000 0.0000
2 Pm 0.3333 0.6667 0.0000
3 Pm 0.6667 0.3333 0.0000
4 Co 0.0000 0.3344 0.5000
5 Co 0.0000 0.6656 0.5000
6 Co 0.3344 0.0000 0.5000
7 Co 0.3344 0.3344 0.5000
8 Co 0.6656 0.0000 0.5000
9 Co 0.6656 0.6656 0.5000

---

The following is a PBE-GGA calculation of an optimized crystal structure of LaPmCo2, from Alexandria.

Output
For the total energy, the calculation gives -6.04 eV per atom. As for the energy above the most stable polymorph in this dataset: 3.9 kJ/mol of formula units. The density of states at the Fermi level is 4.15 states/eV/f.u. The crystal system is orthorhombic.

abc: 3.9166 5.8577 7.6976
angles: 90.00 90.00 90.00
Sites, in units of the cell vectors:
1 La 0.0000 0.1273 0.0000
2 La 0.0000 0.8727 0.5000
3 Pm 0.5000 0.3734 0.3585
4 Pm 0.5000 0.6266 0.8585
5 Co 0.0000 0.3485 0.6496
6 Co 0.0000 0.6515 0.1496
7 Co 0.5000 0.1558 0.7087
8 Co 0.5000 0.8442 0.2087

---

The following is a PBE-GGA calculation of an optimized crystal structure of LaPm4Co4, from Alexandria.

Output
For the total energy, the calculation gives -5.82 eV per atom. The density of states at the Fermi level is 6.05 states/eV/f.u. The crystal system is tetragonal.

abc: 8.5431 8.5431 5.7887
angles: 90.00 90.00 90.00
Sites, in units of the cell vectors:
1 La 0.2500 0.2500 0.2500
2 La 0.7500 0.7500 0.7500
3 Pm 0.0592 0.6763 0.1346
4 Pm 0.1763 0.9408 0.6346
5 Pm 0.3237 0.5592 0.6346
6 Pm 0.4408 0.8237 0.1346
7 Pm 0.5592 0.1763 0.8654
8 Pm 0.6763 0.4408 0.3654
9 Pm 0.8237 0.0592 0.3654
10 Pm 0.9408 0.3237 0.8654
11 Co 0.0110 0.6131 0.6119
12 Co 0.1131 0.9890 0.1119
13 Co 0.3869 0.5110 0.1119
14 Co 0.4890 0.8869 0.6119
15 Co 0.5110 0.1131 0.3881
16 Co 0.6131 0.4890 0.8881
17 Co 0.8869 0.0110 0.8881
18 Co 0.9890 0.3869 0.3881

---

The following is a PBE-GGA calculation of an optimized crystal structure of LaPmCo2, from Alexandria.

Output
For the total energy, the calculation gives -5.94 eV per atom. As for the energy above the most stable polymorph in this dataset: 44.0 kJ/mol of formula units. The density of states at the Fermi level is 2.30 states/eV/f.u. The crystal system is tetragonal.

abc: 3.4748 3.4748 6.9505
angles: 90.00 90.00 90.00
Sites, in units of the cell vectors:
1 La 0.0000 0.0000 0.0000
2 Pm 0.0000 0.0000 0.5000
3 Co 0.5000 0.5000 0.2526
4 Co 0.5000 0.5000 0.7474

---

The following is a PBE-GGA calculation of an optimized crystal structure of La5PmCo3, from Alexandria.

Output
For the total energy, the calculation gives -5.73 eV per atom. The density of states at the Fermi level is 7.23 states/eV/f.u. The crystal system is monoclinic.

abc: 7.7888 7.7888 10.1988
angles: 109.49 109.49 73.54
Sites, in units of the cell vectors:
1 La 0.0635 0.0635 0.3714
2 La 0.1398 0.5258 0.3302
3 La 0.1944 0.8056 0.0000
4 La 0.3978 0.3978 0.7062
5 La 0.4742 0.8602 0.6698
6 La 0.5258 0.1398 0.3302
7 La 0.6022 0.6022 0.2938
8 La 0.8056 0.1944 0.0000
9 La 0.8602 0.4742 0.6698
10 La 0.9365 0.9365 0.6286
11 Pm 0.2674 0.2674 0.9639
12 Pm 0.7326 0.7326 0.0361
13 Co 0.1658 0.1658 0.1678
14 Co 0.1658 0.1658 0.6640
15 Co 0.5000 0.5000 0.0000
16 Co 0.5000 0.5000 0.5000
17 Co 0.8342 0.8342 0.3360
18 Co 0.8342 0.8342 0.8322

---

The following is a PBE-GGA calculation of an optimized crystal structure of La2Pm2Co, from Alexandria.

Output
For the total energy, the calculation gives -5.22 eV per atom. The density of states at the Fermi level is 7.00 states/eV/f.u. The crystal system is orthorhombic.

abc: 13.6635 13.6635 13.6635
angles: 162.91 155.45 30.07
Sites, in units of the cell vectors:
1 La 0.0572 0.3072 0.7500
2 La 0.3030 0.0530 0.2500
3 La 0.6970 0.9470 0.7500
4 La 0.9428 0.6928 0.2500
5 Pm 0.1767 0.4267 0.7500
6 Pm 0.4342 0.1842 0.2500
7 Pm 0.5658 0.8158 0.7500
8 Pm 0.8233 0.5733 0.2500
9 Co 0.3674 0.6174 0.7500
10 Co 0.6326 0.3826 0.2500

---

The following is a PBE-GGA calculation of an optimized crystal structure of LaPm2Co9, from Alexandria.

Output
For the total energy, the calculation gives -6.59 eV per atom. The density of states at the Fermi level is 18.18 states/eV/f.u. The crystal system is trigonal.

abc: 8.7392 8.7392 8.7392
angles: 33.67 33.67 33.67
Sites, in units of the cell vectors:
1 La 0.0000 0.0000 0.0000
2 Pm 0.1399 0.1399 0.1399
3 Pm 0.8601 0.8601 0.8601
4 Co 0.0809 0.5808 0.5808
5 Co 0.3340 0.3340 0.3340
6 Co 0.4192 0.4192 0.9191
7 Co 0.4192 0.9191 0.4192
8 Co 0.5000 0.5000 0.5000
9 Co 0.5808 0.0809 0.5808
10 Co 0.5808 0.5808 0.0809
11 Co 0.6660 0.6660 0.6660
12 Co 0.9191 0.4192 0.4192

---

The following is a PBE-GGA calculation of an optimized crystal structure of LaPmCo2, from Alexandria.

Output
For the total energy, the calculation gives -6.05 eV per atom. As for the energy above the most stable polymorph in this dataset: 0.0 kJ/mol of formula units. The density of states at the Fermi level is 4.26 states/eV/f.u. The crystal system is orthorhombic.

abc: 3.9245 5.9611 5.9611
angles: 39.13 90.00 90.00
Sites, in units of the cell vectors:
1 La 0.0000 0.0000 0.0000
2 Pm 0.5000 0.2792 0.2792
3 Co 0.0000 0.6979 0.6979
4 Co 0.5000 0.5834 0.5834

---

The following is a PBE-GGA calculation of an optimized crystal structure of LaPm4Co2, from Alexandria.

Output
For the total energy, the calculation gives -5.49 eV per atom. As for the energy above the most stable polymorph in this dataset: 0.0 kJ/mol of formula units. The density of states at the Fermi level is 9.32 states/eV/f.u. The crystal system is monoclinic.

abc: 6.9483 6.7816 9.0018
angles: 90.00 112.69 90.00
Sites, in units of the cell vectors:
1 La 0.0104 0.2500 0.2919
2 La 0.9896 0.7500 0.7081
3 Pm 0.2374 0.2500 0.7101
4 Pm 0.2837 0.0021 0.0659
5 Pm 0.2837 0.4979 0.0659
6 Pm 0.3349 0.7500 0.4941
7 Pm 0.6651 0.2500 0.5059
8 Pm 0.7163 0.5021 0.9341
9 Pm 0.7163 0.9979 0.9341
10 Pm 0.7626 0.7500 0.2899
11 Co 0.0345 0.7500 0.1592
12 Co 0.3611 0.7500 0.8275
13 Co 0.6389 0.2500 0.1725
14 Co 0.9655 0.2500 0.8408

---

The following is a PBE-GGA calculation of an optimized crystal structure of La3Pm3Co4, from Alexandria.

Output
For the total energy, the calculation gives -5.77 eV per atom. The density of states at the Fermi level is 8.45 states/eV/f.u. The crystal system is orthorhombic.

abc: 4.2812 7.5047 7.5047
angles: 90.00 90.00 90.00
Sites, in units of the cell vectors:
1 La 0.0000 0.0000 0.0000
2 La 0.0000 0.4972 0.8435
3 La 0.0000 0.8435 0.4972
4 Pm 0.0000 0.3445 0.3445
5 Pm 0.5000 0.1716 0.6657
6 Pm 0.5000 0.6657 0.1716
7 Co 0.5000 0.0684 0.2815
8 Co 0.5000 0.2815 0.0684
9 Co 0.5000 0.5588 0.5588
10 Co 0.5000 0.7735 0.7735

---

The following is a PBE-GGA calculation of an optimized crystal structure of LaPm3Co2, from Alexandria.

Output
For the total energy, the calculation gives -5.59 eV per atom. As for the energy above the most stable polymorph in this dataset: 28.4 kJ/mol of formula units. The density of states at the Fermi level is 6.96 states/eV/f.u. The crystal system is orthorhombic.

abc: 8.3560 8.3560 8.3560
angles: 132.06 71.55 130.28
Sites, in units of the cell vectors:
1 La 0.0000 0.0000 0.0000
2 La 0.5000 0.5000 0.0000
3 Pm 0.0048 0.2500 0.7548
4 Pm 0.2500 0.7500 0.5000
5 Pm 0.4952 0.2500 0.2452
6 Pm 0.5048 0.7500 0.7548
7 Pm 0.7500 0.2500 0.5000
8 Pm 0.9952 0.7500 0.2452
9 Co 0.1288 0.7377 0.8664
10 Co 0.3713 0.2377 0.6090
11 Co 0.6288 0.7623 0.3910
12 Co 0.8712 0.2623 0.1336

---

The following is a PBE-GGA calculation of an optimized crystal structure of La3PmCo, from Alexandria.

Output
For the total energy, the calculation gives -5.36 eV per atom. As for the energy above the most stable polymorph in this dataset: 32.9 kJ/mol of formula units. The density of states at the Fermi level is 6.70 states/eV/f.u. The crystal system is orthorhombic.

abc: 7.7259 6.6308 6.4005
angles: 90.00 90.00 90.00
Sites, in units of the cell vectors:
1 La 0.0000 0.1504 0.0000
2 La 0.2486 0.6676 0.9976
3 La 0.2514 0.3324 0.4976
4 La 0.5000 0.8496 0.5000
5 La 0.7486 0.3324 0.4976
6 La 0.7514 0.6676 0.9976
7 Pm 0.0000 0.8412 0.4982
8 Pm 0.5000 0.1588 0.9982
9 Co 0.0000 0.4954 0.2456
10 Co 0.5000 0.5046 0.7456

---

The following is a PBE-GGA calculation of an optimized crystal structure of LaPm2Co, from Alexandria.

Output
For the total energy, the calculation gives -5.36 eV per atom. As for the energy above the most stable polymorph in this dataset: 47.9 kJ/mol of formula units. The density of states at the Fermi level is 4.09 states/eV/f.u. The crystal system is tetragonal.

abc: 3.5080 3.5080 9.2795
angles: 90.00 90.00 90.00
Sites, in units of the cell vectors:
1 La 0.0000 0.0000 0.0000
2 Pm 0.5000 0.5000 0.3228
3 Pm 0.5000 0.5000 0.6772
4 Co 0.0000 0.0000 0.5000

---

The following is a PBE-GGA calculation of an optimized crystal structure of LaPm4Co, from Alexandria.

Output
For the total energy, the calculation gives -5.16 eV per atom. As for the energy above the most stable polymorph in this dataset: 0.0 kJ/mol of formula units. The density of states at the Fermi level is 8.23 states/eV/f.u. The crystal system is monoclinic.

abc: 9.7106 9.7106 6.0120
angles: 108.01 108.01 45.09
Sites, in units of the cell vectors:
1 La 0.1974 0.1974 0.1994
2 La 0.8026 0.8026 0.8006
3 Pm 0.1329 0.6339 0.3824
4 Pm 0.2357 0.7643 0.0000
5 Pm 0.3282 0.3282 0.8288
6 Pm 0.3661 0.8671 0.6176
7 Pm 0.6339 0.1329 0.3824
8 Pm 0.6718 0.6718 0.1712
9 Pm 0.7643 0.2357 0.0000
10 Pm 0.8671 0.3661 0.6176
11 Co 0.4991 0.4991 0.3140
12 Co 0.5009 0.5009 0.6860

---

Number 1: formation energy from the elements 3.06 kJ per mole of atoms. Number 2: formation energy from the elements 2.04 kJ per mole of atoms. Number 3: formation energy from the elements 18.92 kJ per mole of atoms. Number 4: formation energy from the elements 3.03 kJ per mole of atoms. Number 5: formation energy from the elements -8.71 kJ per mole of atoms. Number 6: formation energy from the elements -7.04 kJ per mole of atoms. Number 7: formation energy from the elements -8.24 kJ per mole of atoms. Number 8: formation energy from the elements -6.65 kJ per mole of atoms. Number 9: formation energy from the elements -0.08 kJ per mole of atoms. Number 10: formation energy from the elements 3.36 kJ per mole of atoms. Number 11: formation energy from the elements -9.42 kJ per mole of atoms. Number 12: formation energy from the elements 6.68 kJ per mole of atoms. Number 13: formation energy from the elements -5.59 kJ per mole of atoms. Number 14: formation energy from the elements -7.64 kJ per mole of atoms. Number 15: formation energy from the elements -4.11 kJ per mole of atoms. Number 16: formation energy from the elements -1.91 kJ per mole of atoms. Number 17: formation energy from the elements -2.57 kJ per mole of atoms. Number 18: formation energy from the elements -2.79 kJ per mole of atoms. Number 19: formation energy from the elements 2.37 kJ per mole of atoms. Number 20: formation energy from the elements 1.31 kJ per mole of atoms.